{
  "formula": "TaCl",
  "functional": "PBE-GGA",
  "state": "relaxed",
  "magmom_total_mub_per_atom": 0.00,
  "e_tot_ev_per_atom": -7.44,
  "vol_a3_per_atom": 23.94,
  "n_ef_per_ev_cell": 2.5,
  "lattice_angstrom": [[-2.913, -0.834, 0.260], [-0.204, -0.335, -3.367], [2.201, -9.553, -5.985]],
  "species": ["Cl", "Cl", "Ta", "Ta"],
  "frac_coords": [[0.750, 0.641, 0.305], [0.250, 0.359, 0.695], [0.750, 0.940, 0.905], [0.250, 0.060, 0.095]]
}


{
  "formula": "Dy3HoO6",
  "functional": "PBE-GGA",
  "state": "relaxed",
  "magmom_total_mub_per_atom": 0.00,
  "e_tot_ev_per_atom": -8.39,
  "vol_a3_per_atom": 15.19,
  "n_ef_per_ev_cell": 0.0,
  "lattice_angstrom": [[-1.154, -0.904, 6.563], [-3.712, -5.379, -1.583], [5.598, -3.715, 0.282]],
  "species": ["Dy", "Dy", "Dy", "Dy", "Dy", "Dy", "Ho", "Ho", "O", "O", "O", "O", "O", "O", "O", "O", "O", "O", "O", "O"],
  "frac_coords": [[0.444, 0.936, 0.749], [0.936, 0.749, 0.444], [0.251, 0.556, 0.064], [0.749, 0.444, 0.936], [0.064, 0.251, 0.556], [0.556, 0.064, 0.251], [0.000, 0.000, 0.000], [0.500, 0.500, 0.500], [0.315, 0.905, 0.071], [0.095, 0.929, 0.685], [0.601, 0.817, 0.470], [0.929, 0.685, 0.095], [0.470, 0.601, 0.817], [0.183, 0.530, 0.399], [0.817, 0.470, 0.601], [0.530, 0.399, 0.183], [0.071, 0.315, 0.905], [0.399, 0.183, 0.530], [0.905, 0.071, 0.315], [0.685, 0.095, 0.929]]
}


{
  "formula": "ZrGeSe2",
  "functional": "PBE-GGA",
  "state": "relaxed",
  "magmom_total_mub_per_atom": 0.19,
  "e_tot_ev_per_atom": -5.28,
  "vol_a3_per_atom": 29.51,
  "n_ef_per_ev_cell": 11.6,
  "lattice_angstrom": [[6.517, 0.000, 0.000], [0.000, 6.517, 0.000], [3.259, 3.259, 5.558]],
  "species": ["Ge", "Ge", "Se", "Se", "Se", "Se", "Zr", "Zr"],
  "frac_coords": [[0.500, 0.500, 0.000], [0.250, 0.750, 0.500], [0.643, 0.125, 0.250], [0.107, 0.625, 0.250], [0.375, 0.357, 0.750], [0.875, 0.893, 0.750], [0.000, 0.000, 0.000], [0.750, 0.250, 0.500]]
}


{
  "formula": "KCa2Ge",
  "functional": "PBE-GGA",
  "state": "relaxed",
  "magmom_total_mub_per_atom": 0.00,
  "e_form_mev_per_atom": -56,
  "vol_a3_per_atom": 30.28,
  "n_ef_per_ev_cell": 3.6,
  "lattice_angstrom": [[0.000, 3.927, 3.927], [3.927, 0.000, 3.927], [3.927, 3.927, 0.000]],
  "species": ["K", "Ge", "Ca", "Ca"],
  "frac_coords": [[0.000, 0.000, 0.000], [0.500, 0.500, 0.500], [0.250, 0.250, 0.250], [0.750, 0.750, 0.750]]
}


{
  "formula": "HfSe",
  "functional": "PBE-GGA",
  "state": "relaxed",
  "magmom_total_mub_per_atom": 0.00,
  "e_tot_ev_per_atom": -7.88,
  "vol_a3_per_atom": 19.51,
  "n_ef_per_ev_cell": 0.4,
  "lattice_angstrom": [[3.562, 0.000, 0.000], [0.000, 3.562, 0.000], [0.000, 0.000, 12.302]],
  "species": ["Hf", "Hf", "Hf", "Hf", "Se", "Se", "Se", "Se"],
  "frac_coords": [[0.000, 0.000, 0.250], [0.000, 0.500, 0.500], [0.500, 0.500, 0.750], [0.500, 0.000, 0.000], [0.000, 0.000, 0.833], [0.000, 0.500, 0.083], [0.500, 0.500, 0.333], [0.500, 0.000, 0.583]]
}


{
  "formula": "TbCe3Ho3Te8",
  "functional": "PBE-GGA",
  "state": "relaxed",
  "magmom_total_mub_per_atom": 0.26,
  "e_tot_ev_per_atom": -5.46,
  "vol_a3_per_atom": 32.16,
  "n_ef_per_ev_cell": 23.5,
  "lattice_angstrom": [[8.766, 0.001, -0.002], [-4.382, 7.590, -0.025], [0.002, -5.035, 7.266]],
  "species": ["Tb", "Ce", "Ce", "Ce", "Ho", "Ho", "Ho", "Te", "Te", "Te", "Te", "Te", "Te", "Te", "Te"],
  "frac_coords": [[0.000, 0.000, 0.500], [0.000, 0.000, 0.000], [0.000, 0.500, 0.000], [0.500, 0.500, 0.000], [0.500, 0.000, 0.500], [0.500, 0.500, 0.500], [0.000, 0.500, 0.500], [0.254, 0.508, 0.262], [0.746, 0.492, 0.738], [0.747, 0.494, 0.255], [0.253, 0.506, 0.745], [0.747, 0.009, 0.255], [0.253, 0.991, 0.745], [0.262, 0.009, 0.255], [0.738, 0.991, 0.745]]
}


{
  "formula": "KZr2Sb",
  "functional": "PBE-GGA",
  "state": "relaxed",
  "magmom_total_mub_per_atom": 0.04,
  "e_tot_ev_per_atom": -5.43,
  "vol_a3_per_atom": 31.25,
  "n_ef_per_ev_cell": 5.4,
  "lattice_angstrom": [[-4.379, -2.303, -1.793], [-1.862, -3.755, -3.182], [-0.166, -5.526, 5.477]],
  "species": ["K", "Sb", "Zr", "Zr"],
  "frac_coords": [[0.508, 0.508, 0.489], [0.259, 0.259, 0.170], [0.001, 0.001, 0.999], [0.732, 0.732, 0.842]]
}


{
  "formula": "TbLuBeGa",
  "functional": "PBE-GGA",
  "state": "relaxed",
  "magmom_total_mub_per_atom": 0.00,
  "e_form_mev_per_atom": -241,
  "vol_a3_per_atom": 20.76,
  "n_ef_per_ev_cell": 3.0,
  "lattice_angstrom": [[-4.449, -0.585, 1.960], [-2.929, -3.584, -1.600], [-0.926, -3.865, 2.860]],
  "species": ["Be", "Lu", "Tb", "Ga"],
  "frac_coords": [[0.250, 0.250, 0.250], [0.000, 0.000, 0.000], [0.500, 0.500, 0.500], [0.750, 0.750, 0.750]]
}


{
  "formula": "SiIr2Cl",
  "functional": "PBE-GGA",
  "state": "relaxed",
  "magmom_total_mub_per_atom": 0.00,
  "e_tot_ev_per_atom": -5.61,
  "vol_a3_per_atom": 14.55,
  "n_ef_per_ev_cell": 4.1,
  "lattice_angstrom": [[4.467, 0.022, 0.000], [-0.027, 4.467, 0.000], [0.000, 0.000, 2.917]],
  "species": ["Cl", "Ir", "Ir", "Si"],
  "frac_coords": [[0.000, 0.500, 0.500], [0.000, 0.000, 0.000], [0.500, 0.500, 0.000], [0.500, 0.000, 0.500]]
}


{
  "formula": "Pr7ErTm2",
  "functional": "PBE-GGA",
  "state": "relaxed",
  "magmom_total_mub_per_atom": 0.00,
  "e_form_mev_per_atom": 629,
  "vol_a3_per_atom": 42.05,
  "n_ef_per_ev_cell": 15.4,
  "lattice_angstrom": [[-0.139, -4.912, -2.897], [9.292, 0.421, -1.158], [-4.040, -4.212, 7.334]],
  "species": ["Pr", "Pr", "Pr", "Pr", "Pr", "Pr", "Pr", "Er", "Tm", "Tm"],
  "frac_coords": [[0.000, 0.778, 0.222], [0.000, 0.222, 0.778], [0.500, 0.066, 0.293], [0.500, 0.934, 0.707], [0.500, 0.293, 0.066], [0.500, 0.707, 0.934], [0.500, 0.500, 0.500], [0.000, 0.000, 0.000], [0.500, 0.705, 0.295], [0.500, 0.295, 0.705]]
}


{
  "formula": "La4ZnSe2Cl",
  "functional": "PBE-GGA",
  "state": "relaxed",
  "magmom_total_mub_per_atom": 0.00,
  "e_tot_ev_per_atom": -5.17,
  "vol_a3_per_atom": 28.39,
  "n_ef_per_ev_cell": 6.1,
  "lattice_angstrom": [[4.248, 0.000, 0.000], [0.000, 7.553, -0.217], [0.000, 2.597, 7.005]],
  "species": ["La", "La", "La", "La", "Zn", "Se", "Se", "Cl"],
  "frac_coords": [[0.000, 0.756, 0.745], [0.000, 0.244, 0.255], [0.500, 0.753, 0.249], [0.500, 0.247, 0.751], [0.000, 0.500, 0.500], [0.000, 0.000, 0.000], [0.500, 0.000, 0.500], [0.500, 0.500, 0.000]]
}


{
  "formula": "ZrIn2I2Br4",
  "functional": "PBE-GGA",
  "state": "relaxed",
  "magmom_total_mub_per_atom": 0.00,
  "e_tot_ev_per_atom": -3.60,
  "vol_a3_per_atom": 38.31,
  "n_ef_per_ev_cell": 0.0,
  "lattice_angstrom": [[7.999, 1.129, 0.768], [2.768, 7.240, 0.371], [2.768, 3.004, 6.598]],
  "species": ["Zr", "In", "In", "I", "I", "Br", "Br", "Br", "Br"],
  "frac_coords": [[0.500, 0.000, 0.000], [0.284, 0.756, 0.756], [0.716, 0.244, 0.244], [0.160, 0.242, 0.242], [0.840, 0.758, 0.758], [0.331, 0.698, 0.191], [0.669, 0.809, 0.302], [0.669, 0.302, 0.809], [0.331, 0.191, 0.698]]
}